Pm5AlAg4 PBE optimized geometry; N(E_F) = 0.7095 states/eV per atom; crystal system = tetragonal; formation energy = -0.293 eV per atom
1.0
-2.6715 2.5018 0.5390
-2.3317 -2.7006 0.9781
5.3766 1.8683 17.9756
Pm Al Ag
5 1 4
direct
0.5000 0.5000 0.0984
0.5000 0.5000 0.2992
0.5000 0.5000 0.5000
0.5000 0.5000 0.7008
0.5000 0.5000 0.9016
0.0000 0.0000 0.0000
0.0000 0.0000 0.1982
0.0000 0.0000 0.4004
0.0000 0.0000 0.5996
0.0000 0.0000 0.8018

---

Pm2Al3Ag6 PBE optimized geometry; N(E_F) = 0.5002 states/eV per atom; crystal system = hexagonal; formation energy = -0.229 eV per atom
1.0
4.4450 0.0000 0.0000
0.0000 7.7787 0.0000
0.0000 -3.8893 6.7365
Pm Al Ag
2 3 6
direct
0.0000 0.6667 0.3333
0.0000 0.3333 0.6667
0.5000 0.3854 0.3854
0.5000 0.6146 0.0000
0.5000 0.0000 0.6146
0.5000 0.7134 0.7134
0.5000 0.0000 0.2866
0.0000 0.2089 0.2089
0.0000 0.7911 0.0000
0.5000 0.2866 0.0000
0.0000 0.0000 0.7911

---

PmAl4Ag2 PBE optimized geometry; N(E_F) = 0.3821 states/eV per atom; offset from the most stable computed form = 0.022 eV per atom; crystal system = monoclinic; formation energy = -0.193 eV per atom
1.0
-4.0601 -0.0953 3.1806
1.0490 -1.4743 5.5335
-0.7160 4.6248 3.4622
Al Ag Pm
4 2 1
direct
0.6708 0.6094 0.0141
0.3292 0.3906 0.9859
0.6707 0.0142 0.6094
0.3293 0.9858 0.3906
0.8146 0.4399 0.4399
0.1854 0.5601 0.5601
0.0000 0.0000 0.0000

---

Pm2Al7Ag12 PBE optimized geometry; N(E_F) = 0.2920 states/eV per atom; crystal system = trigonal; formation energy = -0.157 eV per atom
1.0
4.1111 0.0000 0.0000
0.0000 9.2304 -5.3292
0.0000 0.0000 10.6584
Pm Al Ag
2 7 12
direct
0.2453 0.3333 0.6667
0.7547 0.6667 0.3333
0.5000 0.0000 0.0000
0.2550 0.8819 0.2943
0.2550 0.4123 0.1181
0.2550 0.7057 0.5876
0.7450 0.1181 0.7057
0.7450 0.5877 0.8819
0.7450 0.2943 0.4124
0.2481 0.6228 0.0597
0.2481 0.4370 0.3772
0.2481 0.9403 0.5630
0.7519 0.3772 0.9403
0.7519 0.5630 0.6228
0.7519 0.0597 0.4370
0.2408 0.1201 0.2610
0.2408 0.1409 0.8799
0.2408 0.7390 0.8591
0.7592 0.8799 0.7390
0.7592 0.8591 0.1201
0.7592 0.2610 0.1409

---

Pm2Al4Ag3 PBE optimized geometry; N(E_F) = 0.7115 states/eV per atom; crystal system = orthorhombic; formation energy = -0.334 eV per atom
1.0
5.8716 0.0000 0.0000
0.0000 7.8955 0.0000
-2.9358 0.0000 7.9986
Pm Al Ag
4 8 6
direct
0.1031 0.5988 0.2062
0.8969 0.4012 0.7938
0.3969 0.0988 0.7938
0.6031 0.9012 0.2062
0.6818 0.7500 0.8636
0.8182 0.2500 0.1364
0.3182 0.2500 0.1364
0.1818 0.7500 0.8636
0.1734 0.9910 0.3469
0.8266 0.0090 0.6531
0.3266 0.4910 0.6531
0.6734 0.5090 0.3469
0.0000 0.0000 0.0000
0.5000 0.5000 0.0000
0.5150 0.7500 0.5301
0.9850 0.2500 0.4699
0.4850 0.2500 0.4699
0.0150 0.7500 0.5301

---

PmAl4Ag6 PBE optimized geometry; N(E_F) = 0.3860 states/eV per atom; crystal system = hexagonal; formation energy = -0.193 eV per atom
1.0
-3.2027 2.8116 -0.7040
-1.7531 -0.1858 7.2336
4.9280 4.9852 -2.5092
Pm Al Ag
1 4 6
direct
0.0000 0.0000 0.0000
0.5000 0.7999 0.5999
0.5000 0.4001 0.2001
0.5000 0.7999 0.2001
0.0000 0.3333 0.6667
0.0000 0.5355 0.0710
0.5000 0.5962 0.7981
0.0000 0.5355 0.4645
0.0000 0.9290 0.4645
0.5000 0.2019 0.7981
0.5000 0.2019 0.4038

---

Pm2AlAg PBE optimized geometry; N(E_F) = 0.6449 states/eV per atom; offset from the most stable computed form = 0.235 eV per atom; crystal system = trigonal; formation energy = -0.089 eV per atom
1.0
3.7120 0.0000 0.0000
1.8560 3.2147 0.0000
1.8560 1.0716 9.2581
Al Ag Pm
1 1 2
direct
0.0000 0.0000 0.0000
0.5000 0.5000 0.5000
0.7478 0.7478 0.7566
0.2522 0.2522 0.2434

---

Pm3AlAg8 PBE optimized geometry; N(E_F) = 0.6845 states/eV per atom; crystal system = trigonal; formation energy = -0.146 eV per atom
1.0
5.6918 0.0000 0.0000
2.8459 4.9293 0.0000
2.8459 1.6431 9.2944
Pm Al Ag
3 1 8
direct
0.3807 0.3807 0.8579
0.9909 0.9909 0.0274
0.5057 0.5057 0.4829
0.8652 0.8652 0.4045
0.9409 0.4363 0.1865
0.4402 0.9386 0.6825
0.4363 0.4363 0.1865
0.9386 0.9386 0.6825
0.1887 0.1887 0.4338
0.6879 0.6879 0.9363
0.4363 0.9409 0.1865
0.9386 0.4402 0.6825